This record from Alexandria describes an optimized crystal structure of KSb2H4. The functional is PBE.

For the calculated density, the calculation gives 3.27 g/cm3. The electronic total energy comes out at -3.3239 eV/atom. The magnetic moment comes out at 0.00 μB per formula unit.

It has space group C2/m (No. 12), with a = 9.157 Å, b = 4.993 Å, c = 6.897 Å, α = 90.00°, β = 112.60° and γ = 90.00°. The inequivalent atoms are K at (0.000, 0.000, 0.000), Sb at (0.162, 0.500, 0.496), H at (0.174, 0.500, 0.953) and H at (0.196, 0.500, 0.073).

This record from Alexandria describes an optimized crystal structure of KLiAl2Br8. The functional is PBE.

For the calculated density, the calculation gives 3.11 g/cm3. The electronic total energy comes out at -3.2958 eV/atom. The magnetic moment comes out at 0.00 μB per formula unit. The formation energy without anion corrections is -1.306 eV per atom.

It has space group R-3 (No. 148, hexagonal axes), with a = 6.7847 Å, b = 6.7847 Å, c = 29.6831 Å, α = 90.00°, β = 90.00° and γ = 120.00°. The inequivalent atoms are K at (0.0000, 0.0000, 0.0000), Li at (0.0000, 0.0000, 0.5000), Al at (0.0000, 0.0000, 0.2473), Br at (0.0000, 0.0000, 0.3257) and Br at (0.9997, 0.3278, 0.2237).